## RbCdSn2Hg (PBE-GGA)

Data for a geometry-optimized RbCdSn2Hg structure.

Properties
* ΔE_f: -0.15 eV/atom
* space group: I-4m2 (119)

Unit cell a=7.0556 b=7.0556 c=7.0556 alpha=137.56 beta=137.56 gamma=61.57
With the nearest neighbours (Å) after each atom.
Element x y z (fractional)
Rb (0.0000, 0.0000, 0.0000)  8 Sn 3.90, 4 Cd 3.96, 4 Hg 3.96
Cd (0.7500, 0.2500, 0.5000)  4 Sn 3.00
Sn (0.3796, 0.3796, 0.0000)  1 Sn 2.92, 2 Hg 3.00, 2 Cd 3.00
Sn (0.6204, 0.6204, 0.0000)  1 Sn 2.92, 2 Cd 3.00, 2 Hg 3.00
Hg (0.2500, 0.7500, 0.5000)  4 Sn 3.00

---

## LiTl2In (PBE-GGA)

Data for a geometry-optimized LiTl2In structure.

Properties
* ΔE_f: -0.08 eV/atom
* space group: Cm (8)

Unit cell a=6.1538 b=6.1538 c=5.3893 alpha=114.80 beta=114.80 gamma=34.22
With the nearest neighbours (Å) after each atom.
Element x y z (fractional)
Li (0.0000, 0.0000, 0.0000)  2 In 2.98, 6 Tl 3.01-3.26
Tl (0.5036, 0.5036, 0.5058)  4 Li 3.24-3.26, 3 In 3.40-3.58, 5 Tl 3.44-3.62
Tl (0.7269, 0.7269, 0.2313)  2 Li 3.01, 4 In 3.28-3.30
In (0.2759, 0.2759, 0.7805)  2 Li 2.98, 4 Tl 3.28-3.30

---

Q: Among the records above, which one has the lowest ΔE_f?
A: RbCdSn2Hg

---

Q: Among the records above, which one has the lowest ΔE_f?
A: RbCdSn2Hg

---

Q: Which formula does entry 2 have?
A: LiTl2In